# 1
VASP calculation (PBE-GGA) on a geometry-optimized Na3Sr3IrO8 structure.

Output
- E_form (uncorrected) (eV per atom) = -1.7714
- electronic total energy (eV/atom) = -5.607

The structure in CIF format:
```
data_Na3Sr3IrO8
_space_group_name_H-M_alt 'R -3 m'
_space_group_IT_number 166
_space_group_name_Hall '-R 3 2"'
_cell_length_a 7.0887
_cell_length_b 7.0887
_cell_length_c 16.7362
_cell_angle_alpha 90.00
_cell_angle_beta 90.00
_cell_angle_gamma 120.00
loop_
_atom_site_label
_atom_site_type_symbol
_atom_site_fract_x
_atom_site_fract_y
_atom_site_fract_z
_atom_site_occupancy
Na1 Na 0.0000 0.5000 0.0000 1
Sr1 Sr 0.0000 0.5000 0.5000 1
Ir1 Ir 0.0000 0.0000 0.5000 1
O1 O 0.0000 0.0000 0.2452 1
O2 O 0.0712 0.5356 0.2332 1
```



# 2
VASP calculation (PBE-GGA) on a geometry-optimized Na2TaIrO6 structure.

Output
- E_form (uncorrected) (eV per atom) = -1.7843
- electronic total energy (eV/atom) = -7.094

The structure in CIF format:
```
data_Na2TaIrO6
_space_group_name_H-M_alt 'P 4/m m m'
_space_group_IT_number 123
_space_group_name_Hall '-P 4 2'
_cell_length_a 5.568
_cell_length_b 5.568
_cell_length_c 3.919
_cell_angle_alpha 90.00
_cell_angle_beta 90.00
_cell_angle_gamma 90.00
loop_
_atom_site_label
_atom_site_type_symbol
_atom_site_fract_x
_atom_site_fract_y
_atom_site_fract_z
_atom_site_occupancy
Na1 Na 0.000 0.500 0.000 1
Ta1 Ta 0.000 0.000 0.500 1
Ir1 Ir 0.500 0.500 0.500 1
O1 O 0.000 0.000 0.000 1
O2 O 0.251 0.251 0.500 1
O3 O 0.500 0.500 0.000 1
```



# 3
VASP calculation (PBE-GGA) on a geometry-optimized Na4Tb2Ir3O12 structure.

Output
- E_form (uncorrected) (eV per atom) = -1.7053
- electronic total energy (eV/atom) = -6.497

The structure in CIF format:
```
data_Na4Tb2Ir3O12
_space_group_name_H-M_alt 'P -6 2 m'
_space_group_IT_number 189
_space_group_name_Hall 'P -6 -2'
_cell_length_a 9.4888
_cell_length_b 9.4888
_cell_length_c 3.2066
_cell_angle_alpha 90.00
_cell_angle_beta 90.00
_cell_angle_gamma 120.00
loop_
_atom_site_label
_atom_site_type_symbol
_atom_site_fract_x
_atom_site_fract_y
_atom_site_fract_z
_atom_site_occupancy
Na1 Na 0.0000 0.0000 0.0000 1
Na2 Na 0.0000 0.6985 0.5000 1
Tb1 Tb 0.3333 0.6667 0.5000 1
Ir1 Ir 0.0000 0.3312 0.0000 1
O1 O 0.0000 0.1983 0.5000 1
O2 O 0.0000 0.4580 0.5000 1
O3 O 0.2172 0.7572 0.0000 1
```



For reference, calculated volume by record: 16.18; 12.15; 11.91 Å³ per atom.